Record 1
Y2FeCl (PBE, relaxed); formation energy from raw total energies = -0.18 eV per atom; density = 4.122 Mg/m³; symmetry = R3m (160); spin magnetization = 2.98 μB per cell; energy relative to the lowest polymorph listed for this composition = 1.841 eV per formula unit; D(E_F) = 5.2 states/eV/f.u.
1.0
1.774 1.024 9.946
-1.774 1.024 9.946
0.000 -2.048 9.946
Y Fe Cl
2 1 1
direct
0.000 0.000 0.000
0.233 0.233 0.233
0.499 0.499 0.499
0.729 0.729 0.729

***

Record 2
Na3CdSi (PBE, relaxed); formation energy from raw total energies = 0.62 eV per atom; density = 2.018 Mg/m³; symmetry = Pm-3m (221); spin magnetization = 0.97 μB per cell; energy relative to the lowest polymorph listed for this composition = 1.588 eV per formula unit; D(E_F) = 2.3 states/eV/f.u.
1.0
5.565 0.000 0.000
0.000 5.565 0.000
0.000 0.000 5.565
Na Cd Si
3 1 1
direct
0.000 0.000 0.500
0.000 0.500 0.000
0.500 0.000 0.000
0.000 0.000 0.000
0.500 0.500 0.500

***

Record 3
Mn2GeHRh (PBE, relaxed); density = 8.522 Mg/m³; symmetry = P4/mmm (123); spin magnetization = 5.19 μB per cell; energy relative to the lowest polymorph listed for this composition = 0.754 eV per formula unit; D(E_F) = 3.2 states/eV/f.u.
1.0
3.655 0.000 0.000
0.000 3.655 0.000
0.000 0.000 4.178
Mn Ge H Rh
2 1 1 1
direct
0.000 0.500 0.000
0.500 0.000 0.000
0.000 0.000 0.500
0.000 0.000 0.000
0.500 0.500 0.500

***

Record 4
Ho2FeAs (PBE, relaxed); density = 7.160 Mg/m³; symmetry = R-3m (166); spin magnetization = 1.96 μB per cell; energy of formation from the pure elements = 0.42 eV per formula unit; D(E_F) = 4.1 states/eV/f.u.
1.0
1.882 1.087 8.704
-1.882 1.087 8.704
0.000 -2.174 8.704
Ho Fe As
2 1 1
direct
0.100 0.100 0.100
0.900 0.900 0.900
0.000 0.000 0.000
0.500 0.500 0.500

***

Record 5
SrVIr (PBE, relaxed); density = 8.257 Mg/m³; symmetry = Cm (8); spin magnetization = 0.01 μB per cell; energy relative to the lowest polymorph listed for this composition = 0.667 eV per formula unit; energy of formation from the pure elements = -0.12 eV per formula unit; D(E_F) = 3.0 states/eV/f.u.
1.0
5.837 -2.206 0.000
5.837 2.206 0.000
-0.110 0.000 5.167
Sr V Ir
2 2 2
direct
0.000 0.000 0.000
0.557 0.557 0.514
0.276 0.276 0.226
0.816 0.816 0.514
0.292 0.292 0.721
0.731 0.731 0.036

***

Record 6
YSnH2 (PBE, relaxed); density = 5.258 Mg/m³; symmetry = I-42d (122); spin magnetization = 0.00 μB per cell; energy relative to the lowest polymorph listed for this composition = 0.000 eV per formula unit; D(E_F) = 1.2 states/eV/f.u.
1.0
-2.373 2.373 5.881
2.373 -2.373 5.881
2.373 2.373 -5.881
Y Sn H
2 2 4
direct
0.000 0.000 0.000
0.750 0.250 0.500
0.250 0.750 0.500
0.500 0.500 0.000
0.041 0.625 0.916
0.375 0.291 0.416
0.709 0.125 0.084
0.875 0.959 0.584

***

Record 7
InB2Br8 (PBE, relaxed); formation energy from raw total energies = -0.47 eV per atom; density = 3.133 Mg/m³; symmetry = C2/m (12); spin magnetization = 0.00 μB per cell; D(E_F) = 6.3 states/eV/f.u.
1.0
6.369 -5.214 0.000
6.369 5.214 0.000
-1.136 0.000 6.191
In B Br
1 2 8
direct
0.000 0.000 0.000
0.203 0.203 0.669
0.797 0.797 0.331
0.036 0.714 0.251
0.199 0.199 0.341
0.286 0.964 0.749
0.355 0.355 0.812
0.645 0.645 0.188
0.714 0.036 0.251
0.801 0.801 0.659
0.964 0.286 0.749

***

Record 8
PCS2F (PBE, relaxed); formation energy from raw total energies = 2.07 eV per atom; density = 2.462 Mg/m³; symmetry = P4/mmm (123); spin magnetization = 0.00 μB per cell; energy relative to the lowest polymorph listed for this composition = 4.796 eV per formula unit; D(E_F) = 3.9 states/eV/f.u.
1.0
4.811 0.000 0.000
0.000 4.811 0.000
0.000 0.000 3.675
P C S F
1 1 2 1
direct
0.000 0.000 0.000
0.500 0.500 0.000
0.000 0.500 0.500
0.500 0.000 0.500
0.000 0.000 0.500

***

Record 9
Cu2TcNi (PBE, relaxed); density = 9.553 Mg/m³; symmetry = P4mm (99); spin magnetization = 0.00 μB per cell; energy relative to the lowest polymorph listed for this composition = 0.000 eV per formula unit; energy of formation from the pure elements = 0.21 eV per formula unit; D(E_F) = 3.5 states/eV/f.u.
1.0
2.596 0.000 0.000
0.000 2.596 0.000
0.000 0.000 7.321
Cu Tc Ni
2 1 1
direct
0.000 0.000 0.000
0.500 0.500 0.243
0.500 0.500 0.727
0.000 0.000 0.482

***

Record 10
Sr2ScRh (PBE, relaxed); density = 3.706 Mg/m³; symmetry = Cm (8); spin magnetization = 0.00 μB per cell; energy relative to the lowest polymorph listed for this composition = 0.062 eV per formula unit; energy of formation from the pure elements = -1.00 eV per formula unit; D(E_F) = 2.8 states/eV/f.u.
1.0
3.800 -2.181 0.000
3.800 2.181 0.000
-2.474 0.000 8.733
Sr Sc Rh
2 1 1
direct
0.000 0.000 0.000
0.184 0.184 0.563
0.424 0.424 0.282
0.757 0.757 0.283

***

Record 11
PmPr4Dy2Tm2 (PBE, relaxed); density = 7.555 Mg/m³; symmetry = C2/m (12); spin magnetization = 0.00 μB per cell; energy of formation from the pure elements = 0.20 eV per formula unit; D(E_F) = 13.3 states/eV/f.u.
1.0
7.688 -2.555 0.000
7.688 2.555 0.000
-2.533 0.000 7.674
Pm Pr Dy Tm
1 4 2 2
direct
0.000 0.000 0.000
0.223 0.223 0.331
0.446 0.446 0.669
0.554 0.554 0.331
0.777 0.777 0.669
0.112 0.112 0.669
0.888 0.888 0.331
0.331 0.331 0.001
0.669 0.669 0.999

***

Record 12
ErTiO (PBE, relaxed); formation energy from raw total energies = -1.45 eV per atom; density = 8.161 Mg/m³; symmetry = P-6m2 (187); spin magnetization = 0.48 μB per cell; D(E_F) = 2.9 states/eV/f.u.
1.0
3.128 0.000 0.000
-1.564 2.709 0.000
0.000 0.000 11.100
Er Ti O
2 2 2
direct
0.000 0.000 0.145
0.000 0.000 0.855
0.667 0.333 0.380
0.667 0.333 0.620
0.000 0.000 0.500
0.667 0.333 0.000

***

Record 13
Fe2ReGeN (PBE, relaxed); formation energy from raw total energies = 0.14 eV per atom; density = 11.130 Mg/m³; symmetry = P4/mmm (123); spin magnetization = 0.00 μB per cell; D(E_F) = 3.9 states/eV/f.u.
1.0
3.769 0.000 0.000
0.000 3.769 0.000
0.000 0.000 4.039
Fe Re Ge N
2 1 1 1
direct
0.000 0.500 0.000
0.500 0.000 0.000
0.000 0.000 0.500
0.500 0.500 0.500
0.000 0.000 0.000

***

Record 14
Mn3BiPt (PBE, relaxed); density = 8.086 Mg/m³; symmetry = Pm-3m (221); spin magnetization = 12.81 μB per cell; energy relative to the lowest polymorph listed for this composition = 0.000 eV per formula unit; energy of formation from the pure elements = 2.69 eV per formula unit; D(E_F) = 5.3 states/eV/f.u.
1.0
4.888 0.000 0.000
0.000 4.888 0.000
0.000 0.000 4.888
Mn Bi Pt
3 1 1
direct
0.000 0.000 0.500
0.000 0.500 0.000
0.500 0.000 0.000
0.500 0.500 0.500
0.000 0.000 0.000

***

Record 15
TbErNiOs (PBE, relaxed); density = 12.289 Mg/m³; symmetry = F-43m (216); spin magnetization = 0.00 μB per cell; energy of formation from the pure elements = -1.23 eV per formula unit; D(E_F) = 1.8 states/eV/f.u.
1.0
0.000 3.387 3.387
3.387 0.000 3.387
3.387 3.387 0.000
Tb Er Ni Os
1 1 1 1
direct
0.000 0.000 0.000
0.500 0.500 0.500
0.750 0.750 0.750
0.250 0.250 0.250

***

Record 16
Ir2Au (PBE, relaxed); density = 20.428 Mg/m³; symmetry = P-62m (189); spin magnetization = 0.00 μB per cell; energy relative to the lowest polymorph listed for this composition = 1.066 eV per formula unit; energy of formation from the pure elements = 1.73 eV per formula unit; D(E_F) = 5.3 states/eV/f.u.
1.0
7.671 0.000 0.000
-3.836 6.644 0.000
0.000 0.000 2.782
Ir Au
6 3
direct
0.000 0.308 0.000
0.000 0.642 0.500
0.308 0.000 0.000
0.358 0.358 0.500
0.642 0.000 0.500
0.692 0.692 0.000
0.000 0.000 0.500
0.333 0.667 0.000
0.667 0.333 0.000

***

Record 17
Rb2YErSe4 (PBE, relaxed); formation energy from raw total energies = -1.74 eV per atom; density = 4.990 Mg/m³; symmetry = P2/m (10); spin magnetization = 0.00 μB per cell; D(E_F) = 0.0 states/eV/f.u.
1.0
7.321 0.000 0.000
0.000 4.227 0.000
-2.437 0.000 7.988
Rb Y Er Se
2 1 1 4
direct
0.000 0.000 0.000
0.500 0.500 0.000
0.000 0.500 0.500
0.500 0.000 0.500
0.234 0.000 0.696
0.271 0.500 0.305
0.729 0.500 0.695
0.766 0.000 0.304

***

Record 18
GaBiTe3 (PBE, relaxed); formation energy from raw total energies = -0.21 eV per atom; density = 5.638 Mg/m³; symmetry = P2_1/m (11); spin magnetization = 0.00 μB per cell; energy relative to the lowest polymorph listed for this composition = 0.000 eV per formula unit; D(E_F) = 0.5 states/eV/f.u.
1.0
8.432 0.000 0.000
0.000 4.218 0.000
-0.650 0.000 10.954
Ga Bi Te
2 2 6
direct
0.044 0.250 0.380
0.956 0.750 0.620
0.289 0.250 0.933
0.711 0.750 0.067
0.005 0.750 0.856
0.211 0.750 0.479
0.499 0.250 0.179
0.501 0.750 0.821
0.789 0.250 0.521
0.995 0.250 0.144

***

Record 19
CaMnOs3 (PBE, relaxed); density = 12.057 Mg/m³; symmetry = Pm-3m (221); spin magnetization = 0.00 μB per cell; energy relative to the lowest polymorph listed for this composition = 0.000 eV per formula unit; energy of formation from the pure elements = 5.61 eV per formula unit; D(E_F) = 5.1 states/eV/f.u.
1.0
4.509 0.000 0.000
0.000 4.509 0.000
0.000 0.000 4.509
Ca Mn Os
1 1 3
direct
0.000 0.000 0.000
0.500 0.500 0.500
0.000 0.500 0.500
0.500 0.000 0.500
0.500 0.500 0.000

***

Record 20
CdMo2Au (PBE, relaxed); density = 11.857 Mg/m³; symmetry = Cmm2 (35); spin magnetization = 0.00 μB per cell; energy of formation from the pure elements = 0.71 eV per formula unit; D(E_F) = 2.9 states/eV/f.u.
1.0
1.632 -2.291 0.000
1.632 2.291 0.000
0.000 0.000 9.390
Cd Mo Au
1 2 1
direct
0.000 0.000 0.000
0.000 0.000 0.517
0.500 0.500 0.737
0.500 0.500 0.265